VASP calculation (PBE) on CaMgSe2 after structural relaxation.

ΔE_f (raw) = -1.20 eV per atom
size of the total moment = 0.0 μB per formula unit
symmetry = R-3m (166)
calculated volume = 137.0 Å³/f.u.
N(E_F) = 0.00 states/eV/f.u.
total DFT energy (no corrections) = -3.84 eV/atom

Structure (extended XYZ):
```
4
Lattice="2.266 1.308 7.699 -2.266 1.308 7.699 0.000 -2.617 7.699" Properties=species:S:1:pos:R:3 pbc="T T T"
Ca 0.000 0.000 0.000
Mg 0.000 0.000 11.548
Se 0.000 0.000 9.163
Se 0.000 0.000 13.934
```